(1)
First-principles (PBE-GGA) data for CrNiSe2 after structural relaxation, as listed in Alexandria.

Formation energy (no corrections) (meV per atom): -164
Electronic total energy (eV per cell): -46.06
Crystal system: monoclinic
Distance to the lowest polymorph of the same formula (meV/atom): 191

Cell lengths 6.3888, 3.6921, 6.1671 Å; angles 90.00, 110.13, 90.00 degrees
Space group C2/m (No. 12)
Symmetry-distinct sites (fractional):
Cr 0.0000 0.0000 0.0000 [2 per cell]
Ni 0.0000 0.5000 0.5000 [2 per cell]
Se 0.2485 0.0000 0.7433 [4 per cell]

---

(2)
First-principles (PBE-GGA) data for AlC5 after structural relaxation, as listed in Alexandria.

Electronic total energy (eV per cell): -86.56
Crystal system: orthorhombic
Distance to the lowest polymorph of the same formula (meV/atom): 401
ΔE_f (eV per atom): 1.097

Cell lengths 2.5850, 3.0323, 16.8508 Å; angles 90.00, 90.00, 90.00 degrees
Space group Amm2 (No. 38)
Symmetry-distinct sites (fractional):
Al 0.0000 0.0000 0.0000 [2 per cell]
C 0.0000 0.0000 0.3748 [2 per cell]
C 0.0000 0.0000 0.6609 [2 per cell]
C 0.5000 0.0000 0.3633 [2 per cell]
C 0.5000 0.0000 0.5361 [2 per cell]
C 0.5000 0.0000 0.6265 [2 per cell]

---

(3)
First-principles (PBE-GGA) data for Ac2Cr2Si2C after structural relaxation, as listed in Alexandria.

Formation energy (no corrections) (meV per atom): -327
Electronic total energy (eV per cell): -99.65
Crystal system: tetragonal

Cell lengths 4.0424, 4.0424, 18.0406 Å; angles 90.00, 90.00, 90.00 degrees
Space group I4/mmm (No. 139)
Symmetry-distinct sites (fractional):
Ac 0.0000 0.0000 0.1531 [4 per cell]
Cr 0.0000 0.5000 0.0000 [4 per cell]
Si 0.0000 0.0000 0.4205 [4 per cell]
C 0.0000 0.0000 0.0000 [2 per cell]

---

(4)
First-principles (PBE-GGA) data for WAuCl2 after structural relaxation, as listed in Alexandria.

Formation energy (no corrections) (meV per atom): 256
Electronic total energy (eV per cell): -37.80
Crystal system: orthorhombic
Distance to the lowest polymorph of the same formula (meV/atom): 319

Cell lengths 3.0177, 5.4493, 9.7525 Å; angles 90.00, 90.00, 90.00 degrees
Space group Cmm2 (No. 35)
Symmetry-distinct sites (fractional):
W 0.0000 0.0000 0.0000 [2 per cell]
Au 0.0000 0.5000 0.2331 [2 per cell]
Cl 0.0000 0.0000 0.4528 [2 per cell]
Cl 0.0000 0.5000 0.8028 [2 per cell]

---

(5)
First-principles (PBE-GGA) data for BaYTa2Sn after structural relaxation, as listed in Alexandria.

Electronic total energy (eV per cell): -30.21
Crystal system: tetragonal
Distance to the lowest polymorph of the same formula (meV/atom): 0
ΔE_f (eV per atom): 1.178

Cell lengths 5.2791, 5.2791, 5.7340 Å; angles 90.00, 90.00, 90.00 degrees
Space group P4/mmm (No. 123)
Symmetry-distinct sites (fractional):
Ba 0.0000 0.0000 0.0000 [1 per cell]
Y 0.5000 0.5000 0.0000 [1 per cell]
Ta 0.0000 0.5000 0.5000 [2 per cell]
Sn 0.5000 0.5000 0.5000 [1 per cell]

---

(6)
First-principles (PBE-GGA) data for Ba2CdFe after structural relaxation, as listed in Alexandria.

Electronic total energy (eV per cell): -22.76
Crystal system: monoclinic
ΔE_f (eV per atom): 0.461

Cell lengths 8.1687, 4.0133, 9.4919 Å; angles 90.00, 101.15, 90.00 degrees
Space group C2/m (No. 12)
Symmetry-distinct sites (fractional):
Ba 0.2437 0.0000 0.2166 [4 per cell]
Cd 0.0000 0.0000 0.5000 [2 per cell]
Fe 0.0000 0.5000 0.0000 [2 per cell]

---

(7)
First-principles (PBE-GGA) data for Tb2NdB6 after structural relaxation, as listed in Alexandria.

Electronic total energy (eV per cell): -58.07
Crystal system: hexagonal
ΔE_f (eV per atom): -0.442

Cell lengths 5.7444, 5.7444, 3.9871 Å; angles 90.00, 90.00, 120.00 degrees
Space group P6/mmm (No. 191)
Symmetry-distinct sites (fractional):
Tb 0.3333 0.6667 0.0000 [2 per cell]
Nd 0.0000 0.0000 0.0000 [1 per cell]
B 0.0000 0.3388 0.5000 [6 per cell]

---

(8)
First-principles (PBE-GGA) data for Ce3Cu2Si4 after structural relaxation, as listed in Alexandria.

Formation energy (no corrections) (meV per atom): -602
Electronic total energy (eV per cell): -106.20
Crystal system: monoclinic

Cell lengths 10.9946, 4.1035, 8.2783 Å; angles 90.00, 112.44, 90.00 degrees
Space group C2/m (No. 12)
Symmetry-distinct sites (fractional):
Ce 0.0000 0.0000 0.0000 [2 per cell]
Ce 0.1069 0.5000 0.6680 [4 per cell]
Cu 0.1811 0.5000 0.3168 [4 per cell]
Si 0.1184 0.0000 0.4019 [4 per cell]
Si 0.2265 0.5000 0.0596 [4 per cell]

---

(9)
First-principles (PBE-GGA) data for Ba2FeRh after structural relaxation, as listed in Alexandria.

Electronic total energy (eV per cell): -70.28
Crystal system: cubic
Distance to the lowest polymorph of the same formula (meV/atom): 381
ΔE_f (eV per atom): 0.523

Cell lengths 7.7292, 7.7292, 7.7292 Å; angles 90.00, 90.00, 90.00 degrees
Space group Fm-3m (No. 225)
Symmetry-distinct sites (fractional):
Ba 0.2500 0.2500 0.2500 [8 per cell]
Fe 0.0000 0.0000 0.0000 [4 per cell]
Rh 0.0000 0.0000 0.5000 [4 per cell]

---

(10)
First-principles (PBE-GGA) data for GaPbN2O after structural relaxation, as listed in Alexandria.

Formation energy (no corrections) (meV per atom): 544
Electronic total energy (eV per cell): -25.63
Crystal system: tetragonal

Cell lengths 4.0392, 4.0392, 4.0365 Å; angles 90.00, 90.00, 90.00 degrees
Space group P4/mmm (No. 123)
Symmetry-distinct sites (fractional):
Ga 0.0000 0.0000 0.0000 [1 per cell]
Pb 0.5000 0.5000 0.5000 [1 per cell]
N 0.0000 0.5000 0.0000 [2 per cell]
O 0.0000 0.0000 0.5000 [1 per cell]

---

(11)
First-principles (PBE-GGA) data for K2SrInI6 after structural relaxation, as listed in Alexandria.

Formation energy (no corrections) (meV per atom): -1189
Electronic total energy (eV per cell): -83.40
Crystal system: trigonal

Cell lengths 8.6193, 8.6193, 22.1232 Å; angles 90.00, 90.00, 120.00 degrees
Space group R3 (No. 146, hexagonal axes)
Symmetry-distinct sites (fractional):
K 0.0000 0.0000 0.0000 [3 per cell]
K 0.0000 0.0000 0.4990 [3 per cell]
Sr 0.0000 0.0000 0.2072 [3 per cell]
In 0.0000 0.0000 0.7062 [3 per cell]
I 0.0595 0.3370 0.7815 [9 per cell]
I 0.0652 0.7118 0.2838 [9 per cell]

---

(12)
First-principles (PBE-GGA) data for MgSc2O after structural relaxation, as listed in Alexandria.

Formation energy (no corrections) (meV per atom): -1226
Electronic total energy (eV per cell): -72.36
Crystal system: trigonal
Distance to the lowest polymorph of the same formula (meV/atom): 247

Cell lengths 3.2070, 3.2070, 25.1953 Å; angles 90.00, 90.00, 120.00 degrees
Space group R-3m (No. 166, hexagonal axes)
Symmetry-distinct sites (fractional):
Mg 0.0000 0.0000 0.0000 [3 per cell]
Sc 0.0000 0.0000 0.1186 [6 per cell]
O 0.0000 0.0000 0.5000 [3 per cell]

---

(13)
First-principles (PBE-GGA) data for Ba2HfAlRh after structural relaxation, as listed in Alexandria.

Electronic total energy (eV per cell): -23.50
Crystal system: tetragonal
ΔE_f (eV per atom): 0.279

Cell lengths 6.1109, 6.1109, 4.9152 Å; angles 90.00, 90.00, 90.00 degrees
Space group P4/mmm (No. 123)
Symmetry-distinct sites (fractional):
Ba 0.0000 0.5000 0.0000 [2 per cell]
Hf 0.0000 0.0000 0.5000 [1 per cell]
Al 0.5000 0.5000 0.5000 [1 per cell]
Rh 0.0000 0.0000 0.0000 [1 per cell]

---

(14)
First-principles (PBE-GGA) data for Dy2HoIn after structural relaxation, as listed in Alexandria.

Electronic total energy (eV per cell): -51.28
Crystal system: trigonal
Distance to the lowest polymorph of the same formula (meV/atom): 123
ΔE_f (eV per atom): -0.143

Cell lengths 3.5767, 3.5767, 32.5488 Å; angles 90.00, 90.00, 120.00 degrees
Space group R3m (No. 160, hexagonal axes)
Symmetry-distinct sites (fractional):
Dy 0.0000 0.0000 0.0000 [3 per cell]
Dy 0.0000 0.0000 0.1755 [3 per cell]
Ho 0.0000 0.0000 0.7545 [3 per cell]
In 0.0000 0.0000 0.5881 [3 per cell]

---

(15)
First-principles (PBE-GGA) data for BaLiEuIr after structural relaxation, as listed in Alexandria.

Electronic total energy (eV per cell): -92.68
Crystal system: cubic
ΔE_f (eV per atom): -0.049

Cell lengths 7.5059, 7.5059, 7.5059 Å; angles 90.00, 90.00, 90.00 degrees
Space group F-43m (No. 216)
Symmetry-distinct sites (fractional):
Ba 0.0000 0.0000 0.0000 [4 per cell]
Li 0.2500 0.2500 0.7500 [4 per cell]
Eu 0.0000 0.0000 0.5000 [4 per cell]
Ir 0.2500 0.2500 0.2500 [4 per cell]

---

(16)
First-principles (PBE-GGA) data for HfZnNi14 after structural relaxation, as listed in Alexandria.

Electronic total energy (eV per cell): -93.99
Crystal system: tetragonal
ΔE_f (eV per atom): -0.114

Cell lengths 5.0788, 5.0788, 7.1821 Å; angles 90.00, 90.00, 90.00 degrees
Space group P4/mmm (No. 123)
Symmetry-distinct sites (fractional):
Hf 0.0000 0.0000 0.0000 [1 per cell]
Zn 0.5000 0.5000 0.0000 [1 per cell]
Ni 0.0000 0.0000 0.5000 [1 per cell]
Ni 0.0000 0.5000 0.0000 [2 per cell]
Ni 0.0000 0.5000 0.5000 [2 per cell]
Ni 0.2532 0.2532 0.2616 [8 per cell]
Ni 0.5000 0.5000 0.5000 [1 per cell]

---

(17)
First-principles (PBE-GGA) data for Ba5Na4Tl4 after structural relaxation, as listed in Alexandria.

Electronic total energy (eV per cell): -54.42
Crystal system: tetragonal
ΔE_f (eV per atom): -0.220

Cell lengths 14.9143, 14.9143, 4.7440 Å; angles 90.00, 90.00, 90.00 degrees
Space group I4/m (No. 87)
Symmetry-distinct sites (fractional):
Ba 0.0000 0.0000 0.0000 [2 per cell]
Ba 0.1313 0.7839 0.5000 [8 per cell]
Na 0.0774 0.3977 0.5000 [8 per cell]
Tl 0.0581 0.2412 0.0000 [8 per cell]

---

(18)
First-principles (PBE-GGA) data for CsBeW3 after structural relaxation, as listed in Alexandria.

Electronic total energy (eV per cell): -22.05
Crystal system: cubic
Distance to the lowest polymorph of the same formula (meV/atom): 2059
ΔE_f (eV per atom): 4.277

Cell lengths 4.9000, 4.9000, 4.9000 Å; angles 90.00, 90.00, 90.00 degrees
Space group Pm-3m (No. 221)
Symmetry-distinct sites (fractional):
Cs 0.0000 0.0000 0.0000 [1 per cell]
Be 0.5000 0.5000 0.5000 [1 per cell]
W 0.0000 0.0000 0.5000 [3 per cell]

---

(19)
First-principles (PBE-GGA) data for Th2CoNi3Ge4 after structural relaxation, as listed in Alexandria.

Electronic total energy (eV per cell): -64.76
Crystal system: tetragonal
ΔE_f (eV per atom): -0.700

Cell lengths 4.1727, 4.1727, 9.6793 Å; angles 90.00, 90.00, 90.00 degrees
Space group P-4m2 (No. 115)
Symmetry-distinct sites (fractional):
Th 0.0000 0.5000 0.2439 [2 per cell]
Co 0.5000 0.5000 0.0000 [1 per cell]
Ni 0.0000 0.0000 0.0000 [1 per cell]
Ni 0.0000 0.5000 0.6237 [2 per cell]
Ge 0.0000 0.0000 0.5000 [1 per cell]
Ge 0.0000 0.5000 0.8715 [2 per cell]
Ge 0.5000 0.5000 0.5000 [1 per cell]

---

(20)
First-principles (PBE-GGA) data for RbCrOs3 after structural relaxation, as listed in Alexandria.

Electronic total energy (eV per cell): -34.65
Crystal system: cubic
Distance to the lowest polymorph of the same formula (meV/atom): 0
ΔE_f (eV per atom): 1.926

Cell lengths 4.6250, 4.6250, 4.6250 Å; angles 90.00, 90.00, 90.00 degrees
Space group Pm-3m (No. 221)
Symmetry-distinct sites (fractional):
Rb 0.0000 0.0000 0.0000 [1 per cell]
Cr 0.5000 0.5000 0.5000 [1 per cell]
Os 0.0000 0.5000 0.5000 [3 per cell]